No. 1
VASP calculation (GGA-PBE) on an optimized crystal structure of ScPAu.

abc: 4.4571 4.4571 4.4571
angles: 60.00 60.00 60.00
Positions (direct):
Sc 0.7500 0.7500 0.7500
P 0.5000 0.5000 0.5000
Au 0.0000 0.0000 0.0000

Values from the calculation:
Total energy   -16.639 eV/cell
N(E_F)   2.00 states/eV/cell
Total magnetization   0.0 Bohr magnetons per cell
Energy of formation   -540 meV/atom
V   62.6 Å³ per cell

No. 2
VASP calculation (GGA-PBE) on an optimized crystal structure of Si2OsRh2.

abc: 6.9785 6.9785 2.7585
angles: 90.00 90.00 90.00
Positions (direct):
Rh 0.1452 0.6452 0.5000
Rh 0.6452 0.8548 0.5000
Rh 0.8548 0.3548 0.5000
Rh 0.3548 0.1452 0.5000
Si 0.3462 0.8462 0.0000
Si 0.8462 0.6538 0.0000
Si 0.6538 0.1538 0.0000
Si 0.1538 0.3462 0.0000
Os 0.0000 0.0000 0.0000
Os 0.5000 0.5000 0.0000

Values from the calculation:
Total energy   -77.347 eV/cell
N(E_F)   9.73 states/eV/cell
Formation energy (no corrections)   -8.7 kcal/mol of atoms
Total magnetization   0.0 Bohr magnetons per cell
V   134.3 Å³ per cell

Among the records above, which one has the highest V?
Si2OsRh2

total energy of number 2 (Si2OsRh2)?
-77.347 eV/cell

What did the first record say?
VASP calculation (GGA-PBE) on an optimized crystal structure of ScPAu.

abc: 4.4571 4.4571 4.4571
angles: 60.00 60.00 60.00
Positions (direct):
Sc 0.7500 0.7500 0.7500
P 0.5000 0.5000 0.5000
Au 0.0000 0.0000 0.0000

Values from the calculation:
Total energy   -16.639 eV/cell
N(E_F)   2.00 states/eV/cell
Total magnetization   0.0 Bohr magnetons per cell
Energy of formation   -540 meV/atom
V   62.6 Å³ per cell

Among the records above, which one has the lowest total energy?
Si2OsRh2